No. 1
Entry from the Alexandria database: a geometry-optimized CaNiIr4 structure (PBE-GGA).

a b c (Å): 5.241 5.241 5.241
angles (deg): 60.00 60.00 60.00
Sites, in units of the cell vectors:
Ca 0.000 0.000 0.000
Ni 0.250 0.250 0.250
Ir 0.126 0.625 0.625
Ir 0.625 0.126 0.625
Ir 0.625 0.625 0.126
Ir 0.625 0.625 0.625

Values from the calculation:
Symmetry: F-43m

***

No. 2
Entry from the Alexandria database: a geometry-optimized Ca2Ni2Ir structure (PBE-GGA).

a b c (Å): 6.465 6.465 4.401
angles (deg): 90.00 90.00 90.00
Sites, in units of the cell vectors:
Ca 0.184 0.316 0.000
Ca 0.316 0.816 0.000
Ca 0.684 0.184 0.000
Ca 0.816 0.684 0.000
Ni 0.127 0.627 0.500
Ni 0.373 0.127 0.500
Ni 0.627 0.873 0.500
Ni 0.873 0.373 0.500
Ir 0.000 0.000 0.500
Ir 0.500 0.500 0.500

Values from the calculation:
Polymorph energy (0 for the lowest one): 107 meV per atom
Symmetry: P4/mbm

***

No. 3
Entry from the Alexandria database: a geometry-optimized Ca3NiIr structure (PBE-GGA).

a b c (Å): 5.384 5.384 5.384
angles (deg): 90.00 90.00 90.00
Sites, in units of the cell vectors:
Ca 0.000 0.000 0.500
Ca 0.000 0.500 0.000
Ca 0.500 0.000 0.000
Ni 0.500 0.500 0.500
Ir 0.000 0.000 0.000

Values from the calculation:
Polymorph energy (0 for the lowest one): 0 meV per atom
Symmetry: Pm-3m

***

No. 4
Entry from the Alexandria database: a geometry-optimized Ca2Ni3Ir structure (PBE-GGA).

a b c (Å): 5.175 5.175 5.175
angles (deg): 59.47 59.47 59.47
Sites, in units of the cell vectors:
Ca 0.126 0.126 0.126
Ca 0.874 0.874 0.874
Ni 0.000 0.500 0.500
Ni 0.500 0.000 0.500
Ni 0.500 0.500 0.000
Ir 0.500 0.500 0.500

Values from the calculation:
Symmetry: R-3m

***

No. 5
Entry from the Alexandria database: a geometry-optimized CaNiIr structure (PBE-GGA).

a b c (Å): 5.448 5.448 5.036
angles (deg): 91.63 91.63 47.64
Sites, in units of the cell vectors:
Ca 0.000 0.000 0.000
Ca 0.538 0.538 0.507
Ni 0.283 0.283 0.231
Ni 0.733 0.733 0.000
Ir 0.272 0.272 0.742
Ir 0.809 0.809 0.489

Values from the calculation:
Polymorph energy (0 for the lowest one): 129 meV per atom
Symmetry: Cm

***

No. 6
Entry from the Alexandria database: a geometry-optimized CaNiIr structure (PBE-GGA).

a b c (Å): 4.991 4.437 5.437
angles (deg): 90.00 113.26 90.00
Sites, in units of the cell vectors:
Ca 0.000 0.000 0.000
Ca 0.491 0.500 0.953
Ni 0.150 0.000 0.537
Ni 0.888 0.500 0.496
Ir 0.336 0.500 0.403
Ir 0.614 0.000 0.434

Values from the calculation:
Polymorph energy (0 for the lowest one): 143 meV per atom
Symmetry: Pm

***

No. 7
Entry from the Alexandria database: a geometry-optimized CaNiIr structure (PBE-GGA).

a b c (Å): 9.567 7.451 6.912
angles (deg): 83.45 50.69 45.87
Sites, in units of the cell vectors:
Ca 0.000 0.242 0.758
Ca 0.000 0.758 0.242
Ca 0.242 0.000 0.000
Ca 0.758 0.000 0.000
Ni 0.126 0.494 0.506
Ni 0.494 0.126 0.874
Ni 0.506 0.874 0.126
Ni 0.874 0.506 0.494
Ir 0.320 0.680 0.320
Ir 0.412 0.412 0.588
Ir 0.588 0.588 0.412
Ir 0.680 0.320 0.680

Values from the calculation:
Polymorph energy (0 for the lowest one): 504 meV per atom
Symmetry: Fmmm

***

No. 8
Entry from the Alexandria database: a geometry-optimized CaNiIr structure (PBE-GGA).

a b c (Å): 2.939 2.939 6.705
angles (deg): 90.00 90.00 120.00
Sites, in units of the cell vectors:
Ca 0.000 0.000 0.000
Ni 0.667 0.333 0.647
Ir 0.333 0.667 0.357

Values from the calculation:
Polymorph energy (0 for the lowest one): 811 meV per atom
Symmetry: P3m1

***

No. 9
Entry from the Alexandria database: a geometry-optimized CaNiIr structure (PBE-GGA).

a b c (Å): 4.408 4.408 4.408
angles (deg): 60.00 60.00 60.00
Sites, in units of the cell vectors:
Ca 0.000 0.000 0.000
Ni 0.250 0.250 0.250
Ir 0.750 0.750 0.750

Values from the calculation:
Polymorph energy (0 for the lowest one): 1408 meV per atom
Symmetry: F-43m

***

No. 10
Entry from the Alexandria database: a geometry-optimized CaNiIr structure (PBE-GGA).

a b c (Å): 4.330 4.330 4.330
angles (deg): 60.00 60.00 60.00
Sites, in units of the cell vectors:
Ca 0.000 0.000 0.000
Ni 0.250 0.250 0.250
Ir 0.500 0.500 0.500

Values from the calculation:
Polymorph energy (0 for the lowest one): 666 meV per atom
Symmetry: F-43m

***

No. 11
Entry from the Alexandria database: a geometry-optimized CaNiIr3 structure (PBE-GGA).

a b c (Å): 4.735 4.735 4.735
angles (deg): 90.00 90.00 90.00
Sites, in units of the cell vectors:
Ca 0.000 0.000 0.000
Ni 0.500 0.500 0.500
Ir 0.000 0.000 0.500
Ir 0.000 0.500 0.000
Ir 0.500 0.000 0.000

Values from the calculation:
Polymorph energy (0 for the lowest one): 1779 meV per atom
Symmetry: Pm-3m

***

No. 12
Entry from the Alexandria database: a geometry-optimized CaNi4Ir2 structure (PBE-GGA).

a b c (Å): 5.088 5.088 5.088
angles (deg): 104.56 104.56 119.82
Sites, in units of the cell vectors:
Ca 0.000 0.000 0.000
Ni 0.307 0.307 0.614
Ni 0.307 0.693 0.000
Ni 0.693 0.307 0.000
Ni 0.693 0.693 0.386
Ir 0.250 0.750 0.500
Ir 0.750 0.250 0.500

Values from the calculation:
Symmetry: I4/mmm

***

No. 13
Entry from the Alexandria database: a geometry-optimized CaNi2Ir structure (PBE-GGA).

a b c (Å): 4.553 4.553 2.810
angles (deg): 90.00 90.00 90.00
Sites, in units of the cell vectors:
Ca 0.000 0.000 0.000
Ni 0.000 0.500 0.500
Ni 0.500 0.000 0.500
Ir 0.500 0.500 0.000

Values from the calculation:
Symmetry: P4/mmm

***

No. 14
Entry from the Alexandria database: a geometry-optimized Ca2Ni2Ir structure (PBE-GGA).

a b c (Å): 5.217 5.217 8.119
angles (deg): 99.64 99.64 62.63
Sites, in units of the cell vectors:
Ca 0.034 0.270 0.156
Ca 0.270 0.034 0.656
Ca 0.730 0.966 0.344
Ca 0.966 0.730 0.844
Ni 0.263 0.500 0.499
Ni 0.500 0.263 0.999
Ni 0.500 0.737 0.001
Ni 0.737 0.500 0.501
Ir 0.391 0.609 0.250
Ir 0.609 0.391 0.750

Values from the calculation:
Polymorph energy (0 for the lowest one): 0 meV per atom
Symmetry: C2/c

***

No. 15
Entry from the Alexandria database: a geometry-optimized CaNi2Ir structure (PBE-GGA).

a b c (Å): 4.406 4.406 4.406
angles (deg): 60.00 60.00 60.00
Sites, in units of the cell vectors:
Ca 0.000 0.000 0.000
Ni 0.250 0.250 0.250
Ni 0.750 0.750 0.750
Ir 0.500 0.500 0.500

Values from the calculation:
Symmetry: Fm-3m

***

No. 16
Entry from the Alexandria database: a geometry-optimized CaNi2Ir structure (PBE-GGA).

a b c (Å): 5.029 5.029 4.688
angles (deg): 108.34 108.34 31.69
Sites, in units of the cell vectors:
Ca 0.000 0.000 0.000
Ni 0.481 0.481 0.503
Ni 0.765 0.765 0.174
Ir 0.221 0.221 0.616

Values from the calculation:
Symmetry: Cm

***

No. 17
Entry from the Alexandria database: a geometry-optimized CaNi2Ir structure (PBE-GGA).

a b c (Å): 8.956 8.956 8.956
angles (deg): 18.09 18.09 18.09
Sites, in units of the cell vectors:
Ca 0.000 0.000 0.000
Ni 0.243 0.243 0.243
Ni 0.757 0.757 0.757
Ir 0.500 0.500 0.500

Values from the calculation:
Symmetry: R-3m

***

No. 18
Entry from the Alexandria database: a geometry-optimized CaNi2Ir structure (PBE-GGA).

a b c (Å): 4.181 4.181 5.409
angles (deg): 112.82 112.82 60.03
Sites, in units of the cell vectors:
Ca 0.000 0.000 0.000
Ni 0.188 0.188 0.565
Ni 0.812 0.812 0.435
Ir 0.500 0.500 0.500

Values from the calculation:
Symmetry: C2/m

***

No. 19
Entry from the Alexandria database: a geometry-optimized CaNiIr structure (PBE-GGA).

a b c (Å): 5.233 5.233 5.233
angles (deg): 120.52 120.07 89.49
Sites, in units of the cell vectors:
Ca 0.377 0.127 0.250
Ca 0.623 0.873 0.750
Ni 0.000 0.000 0.500
Ni 0.000 0.500 0.000
Ir 0.000 0.500 0.500
Ir 0.500 0.500 0.000

Values from the calculation:
Polymorph energy (0 for the lowest one): 0 meV per atom
Symmetry: Imma

***

No. 20
Entry from the Alexandria database: a geometry-optimized CaNi2Ir structure (PBE-GGA).

a b c (Å): 4.885 4.885 4.885
angles (deg): 133.14 133.14 68.44
Sites, in units of the cell vectors:
Ca 0.000 0.000 0.000
Ni 0.500 0.500 0.000
Ni 0.750 0.250 0.500
Ir 0.250 0.750 0.500

Values from the calculation:
Symmetry: I-4m2

***

no.,calculated total energy (eV/atom),spin magnetization (μB/f.u.)
1,-7.0609,2.6
2,-5.0242,0.7
3,-3.8783,0.3
4,-5.3333,0.0
5,-5.7974,0.2
6,-5.7831,0.0
7,-5.4224,0.0
8,-5.1154,0.3
9,-4.5184,0.0
10,-5.2606,1.2
11,-4.2874,3.3
12,-6.2684,0.0
13,-5.5250,0.0
14,-5.1313,0.0
15,-5.4467,1.0
16,-5.5297,0.0
17,-5.1289,0.5
18,-5.7718,0.7
19,-5.9265,0.0
20,-5.3876,1.5